#a
A relaxed structure of InCoOs. Source: Alexandria, functional GGA-PBE.

Structure (extended XYZ):
```
6
Lattice="5.1629 0.0000 0.0075 0.0000 3.7349 0.0000 -1.5870 0.0000 5.1951" Properties=species:S:1:pos:R:3 pbc="T T T"
In 3.1204 0.9337 2.9614
In 0.4555 2.8012 2.2412
Co 4.5468 0.9337 0.5562
Co -0.9709 2.8012 4.6464
Os 1.9355 0.9337 0.4713
Os 1.6404 2.8012 4.7313
```

space group = P2_1/m (11)
magnetic moment = 0.97 μB per cell

#b
A relaxed structure of InCoOs. Source: Alexandria, functional GGA-PBE.

Structure (extended XYZ):
```
6
Lattice="-2.7389 -2.6831 3.8047 0.9228 -2.5165 -1.1104 5.4139 0.7672 2.7607" Properties=species:S:1:pos:R:3 pbc="T T T"
In -0.1459 -3.0955 3.1041
In 1.1288 -0.4876 2.0433
Co 3.8210 -1.0987 1.8753
Co 3.9046 -0.4336 4.2279
Os 2.4760 -2.3993 3.7053
Os 2.4842 -1.8290 6.2099
```

space group = Pm (6)
magnetic moment = 0.84 μB per cell

#c
A relaxed structure of InCoOs. Source: Alexandria, functional GGA-PBE.

Structure (extended XYZ):
```
12
Lattice="2.8018 0.0000 0.0000 0.0000 13.6662 0.0000 0.0000 0.0000 4.6909" Properties=species:S:1:pos:R:3 pbc="T T T"
Os 1.4009 3.5175 1.5760
Os 1.4009 10.1487 3.9215
Os 0.0000 3.3156 3.9215
Os 0.0000 10.3506 1.5760
In 1.4009 5.7986 3.2071
In 1.4009 7.8676 0.8616
In 0.0000 12.6317 3.2071
In 0.0000 1.0345 0.8616
Co 1.4009 12.3059 0.8002
Co 0.0000 5.4728 0.8002
Co 0.0000 8.1935 3.1456
Co 1.4009 1.3603 3.1456
```

space group = Cmc2_1 (36)
magnetic moment = 0.00 μB per cell

The structure with the most favorable energy is #b; the runner-up is 1.2 kJ/mol of atoms above it.

#a
A relaxed structure of InCoOs. Source: Alexandria, functional GGA-PBE.

Structure (extended XYZ):
```
12
Lattice="5.6466 0.0000 -0.0051 0.0000 2.8449 0.0000 -2.4563 0.0000 11.3900" Properties=species:S:1:pos:R:3 pbc="T T T"
Os 0.1527 1.4225 3.6062
Os 4.2658 0.0000 2.0837
Os -1.0755 0.0000 9.3012
Os 3.0376 1.4225 7.7787
In -1.2282 0.0000 5.6950
In 2.8233 1.4225 -0.0025
In 1.5951 0.0000 5.6925
In 0.0000 1.4225 0.0000
Co 2.8790 1.4225 3.5951
Co 1.6509 0.0000 9.2901
Co 0.3113 1.4225 7.7898
Co 1.5394 0.0000 2.0948
```

space group = C2/m (12)
magnetic moment = 2.90 μB per cell

#b
A relaxed structure of InCoOs. Source: Alexandria, functional GGA-PBE.

Structure (extended XYZ):
```
12
Lattice="-0.1186 -3.9737 2.4739 -1.2345 -1.2974 -2.1431 12.4073 -1.5611 -6.2020" Properties=species:S:1:pos:R:3 pbc="T T T"
Os 3.2284 -1.3710 -1.0297
Os 8.8148 -2.8003 -5.2022
Os 9.0602 -4.1638 -2.6983
Os 2.2393 -4.0320 -0.6689
Co 6.6702 -4.9045 -2.6930
Co 1.0838 -3.4753 1.4795
Co 4.3839 -1.9277 -3.1781
Co 11.2048 -2.0595 -5.2076
In 10.7438 -4.8281 -5.0858
In 0.3104 -2.0041 -0.7854
In 5.1574 -3.3988 -0.9132
In 7.1313 -2.1360 -2.8148
```

space group = C2/m (12)
magnetic moment = 0.01 μB per cell

The structure with the most favorable energy is #b; the runner-up is 1.0 kJ/mol of atoms above it.

#a
A relaxed structure of InCoP2. Source: Alexandria, functional GGA-PBE.

Structure (extended XYZ):
```
4
Lattice="4.0281 0.0006 0.0041 2.6040 3.0732 0.0041 1.4763 0.6843 5.5456" Properties=species:S:1:pos:R:3 pbc="T T T"
In 1.6127 0.7474 1.4627
Co 4.4599 2.0671 3.6425
P 6.4357 2.9829 3.5613
P 7.7626 3.5979 5.2181
```

space group = Cm (8)
magnetic moment = 0.00 μB per cell

#b
A relaxed structure of InCoP2. Source: Alexandria, functional GGA-PBE.

Structure (extended XYZ):
```
4
Lattice="-3.3723 -1.4578 3.1644 -1.7223 -4.3242 -1.3585 4.5263 1.6236 0.6222" Properties=species:S:1:pos:R:3 pbc="T T T"
In -0.6966 -1.3626 2.3448
Co -2.5473 -2.8910 0.9029
P 0.0000 0.0000 0.0000
P 0.1283 -2.7958 0.0833
```

space group = I-4m2 (119)
magnetic moment = 0.00 μB per cell

The structure with the most favorable energy is #a; the runner-up is 62.2 kJ/mol of atoms above it.

#a
A relaxed structure of InCoP2. Source: Alexandria, functional GGA-PBE.

Structure (extended XYZ):
```
4
Lattice="5.7034 -0.0206 0.0066 3.1716 4.7403 -0.0066 -3.8554 -3.4544 2.3942" Properties=species:S:1:pos:R:3 pbc="T T T"
P 5.0346 2.6774 0.0000
P 8.2778 4.4021 0.0000
In 1.8768 1.8229 1.1938
Co 3.1427 -0.5576 1.2004
```

space group = Immm (71)
magnetic moment = 0.00 μB per cell

#b
A relaxed structure of InCoP2. Source: Alexandria, functional GGA-PBE.

Structure (extended XYZ):
```
4
Lattice="3.5450 0.0000 0.0000 0.0000 4.2083 0.0000 0.0000 0.0000 4.2083" Properties=species:S:1:pos:R:3 pbc="T T T"
Co 1.7725 2.1042 0.0000
P 0.0000 2.1042 2.1042
P 0.0000 0.0000 0.0000
In 1.7725 0.0000 2.1042
```

space group = P4/mmm (123)
magnetic moment = 0.37 μB per cell

#c
A relaxed structure of InCoP2. Source: Alexandria, functional GGA-PBE.

Structure (extended XYZ):
```
4
Lattice="5.1167 0.0032 0.0062 -1.8422 3.9891 0.0398 1.4322 1.6848 3.3002" Properties=species:S:1:pos:R:3 pbc="T T T"
In 1.6372 1.9961 0.0230
Co -0.2050 2.8369 1.6700
P 3.2744 0.8440 1.6532
P 0.0000 0.0000 0.0000
```

space group = C2/m (12)
magnetic moment = 1.18 μB per cell

#d
A relaxed structure of InCoP2. Source: Alexandria, functional GGA-PBE.

Structure (extended XYZ):
```
4
Lattice="-0.9365 -1.6080 -2.3920 2.6661 -0.1723 -0.9280 0.9806 -6.5778 4.0381" Properties=species:S:1:pos:R:3 pbc="T T T"
Co 1.1099 -2.5346 -0.6505
P 0.0905 -0.6072 0.3728
P 0.3998 -2.6817 1.6463
In 1.6002 -5.8235 1.3685
```

space group = Pmmm (47)
magnetic moment = 0.00 μB per cell

The structure with the most favorable energy is #d; the runner-up is 9.1 kJ/mol of atoms above it.

#a
A relaxed structure of InCoP2. Source: Alexandria, functional GGA-PBE.

Structure (extended XYZ):
```
4
Lattice="3.2963 0.0000 0.0000 0.0000 3.7265 0.0038 0.0000 1.7873 5.5243" Properties=species:S:1:pos:R:3 pbc="T T T"
P 1.6482 1.7258 0.9631
P 0.0000 3.9777 1.0868
In 1.6482 4.0662 3.8116
Co 0.0000 2.2274 2.4344
```

space group = Pm (6)
magnetic moment = 0.00 μB per cell

#b
A relaxed structure of InCoP2. Source: Alexandria, functional GGA-PBE.

Structure (extended XYZ):
```
4
Lattice="-1.7726 3.3244 -2.4083 0.5663 0.0967 -4.4343 -3.4613 -0.8046 -2.7140" Properties=species:S:1:pos:R:3 pbc="T T T"
P 0.0000 0.0000 0.0000
P -1.1669 0.6541 -2.3892
Co -2.3338 1.3082 -4.7783
In -3.5007 1.9624 -7.1675
```

space group = F-43m (216)
magnetic moment = 0.81 μB per cell

The structure with the most favorable energy is #a; the runner-up is 64.3 kJ/mol of atoms above it.

#a
A relaxed structure of InCoP5. Source: Alexandria, functional GGA-PBE.

Structure (extended XYZ):
```
7
Lattice="4.4223 0.0000 0.0000 0.0000 4.4223 0.0000 0.0000 0.0000 6.8100" Properties=species:S:1:pos:R:3 pbc="T T T"
Co 0.0000 0.0000 0.0000
In 0.0000 0.0000 3.4050
P 2.2111 2.2111 0.0000
P 2.2111 0.0000 5.7035
P 0.0000 2.2111 5.7035
P 2.2111 0.0000 1.1065
P 0.0000 2.2111 1.1065
```

space group = P4/mmm (123)
magnetic moment = 0.00 μB per cell

#b
A relaxed structure of InCoP5. Source: Alexandria, functional GGA-PBE.

Structure (extended XYZ):
```
7
Lattice="-2.0845 2.2235 1.8287 -2.8586 -1.8658 -0.9900 1.0691 -6.4380 9.0465" Properties=species:S:1:pos:R:3 pbc="T T T"
P -0.3605 -2.9937 6.6833
P -0.7475 -5.0384 5.2740
P -2.4716 0.1788 0.4194
P -0.6549 -1.2208 4.1919
P -1.0420 -3.2654 2.7826
Co 0.5346 -3.2190 4.5233
In 0.0000 0.0000 0.0000
```

space group = P4/mmm (123)
magnetic moment = 0.00 μB per cell

The structure with the most favorable energy is #b; the runner-up is 9.0 kJ/mol of atoms above it.